SmGdMgTi | GGA-PBE | relaxed

Results
The energy of formation from the pure elements comes out at 0.142 eV/atom. The uncorrected energy comes out at -6.93 eV per atom.

Cell: 5.304 5.304 5.304 Å, 60.00 60.00 60.00°
Fractional positions:
Sm: 0.000 0.000 0.000
Gd: 0.500 0.500 0.500
Mg: 0.250 0.250 0.250
Ti: 0.750 0.750 0.750